[1]
Zr17Re12: relaxed, GGA-PBEsol.

## Properties
Density in g/cm3: 11.69
DFT formation energy in eV per atom: -0.20
DFT total energy in eV per atom: -11.050
Space group: I-43m (217)

Cell lengths 8.873, 8.873, 8.873 Å; angles 109.47, 109.47, 109.47 degrees
Positions (direct):
Zr  0.606  0.324  0.000
Zr  0.394  0.718  0.394
Zr  0.000  0.000  0.000
Zr  0.000  0.324  0.606
Zr  0.000  0.369  0.000
Zr  0.676  0.282  0.676
Zr  0.000  0.606  0.324
Zr  0.394  0.394  0.718
Zr  0.369  0.000  0.000
Zr  0.324  0.606  0.000
Zr  0.324  0.000  0.606
Zr  0.631  0.631  0.631
Zr  0.606  0.000  0.324
Zr  0.676  0.676  0.282
Zr  0.718  0.394  0.394
Zr  0.000  0.000  0.369
Zr  0.282  0.676  0.676
Re  0.180  0.822  0.180
Re  0.642  0.000  0.820
Re  0.358  0.358  0.178
Re  0.180  0.180  0.822
Re  0.000  0.820  0.642
Re  0.358  0.178  0.358
Re  0.822  0.180  0.180
Re  0.000  0.642  0.820
Re  0.178  0.358  0.358
Re  0.642  0.820  0.000
Re  0.820  0.642  0.000
Re  0.820  0.000  0.642

[2]
YFe2Tc: relaxed, GGA-PBEsol.

## Properties
Density in g/cm3: 8.38
DFT formation energy in eV per atom: 0.54
DFT total energy in eV per atom: -8.466
Space group: I-4m2 (119)

Cell lengths 3.883, 3.883, 4.790 Å; angles 113.91, 113.91, 90.00 degrees
Positions (direct):
Fe  0.000  0.000  0.000
Fe  0.750  0.250  0.500
Y  0.250  0.750  0.500
Tc  0.500  0.500  0.000

[3]
ScIn2Tc: relaxed, GGA-PBEsol.

## Properties
Density in g/cm3: 8.31
DFT formation energy in eV per atom: -0.04
DFT total energy in eV per atom: -5.995
Space group: Pmmm (47)

Cell lengths 3.071, 4.131, 5.873 Å; angles 90.00, 90.00, 90.00 degrees
Positions (direct):
Tc  0.500  0.500  0.500
In  0.000  0.000  0.265
In  0.000  0.000  0.735
Sc  0.500  0.500  0.000

[4]
Ba2PrNbO6: relaxed, GGA-PBEsol.

## Properties
Density in g/cm3: 6.19
DFT total energy in eV per atom: -8.119
Space group: Fm-3m (225)

Cell lengths 6.119, 6.119, 6.119 Å; angles 60.00, 60.00, 60.00 degrees
Positions (direct):
Ba  0.750  0.750  0.750
Ba  0.250  0.250  0.250
O  0.268  0.732  0.268
O  0.732  0.268  0.268
O  0.732  0.732  0.268
O  0.268  0.268  0.732
O  0.732  0.268  0.732
O  0.268  0.732  0.732
Pr  0.000  0.000  0.000
Nb  0.500  0.500  0.500

Number 1: V 18.54 A^3/atom. Number 2: V 14.80 A^3/atom. Number 3: V 18.62 A^3/atom. Number 4: V 16.20 A^3/atom.